First-principles (PBE) data for Mg2ScAu after structural relaxation, as listed in Alexandria.

Summary:
Spin magnetization, Bohr magnetons per cell: 0.00
Formation energy from the elements, eV per atom: -0.289
Density, g cm⁻³: 5.774

Cell: 4.833 3.257 5.382 Å, 80.53 90.00 90.00°
Sites, in units of the cell vectors:
1 Au 0.500 0.750 0.750
2 Mg 0.000 0.908 0.986
3 Mg 0.000 0.592 0.514
4 Sc 0.500 0.250 0.250